Entry 1:
This record from Alexandria describes a relaxed structure of NiTe2As. The functional is GGA-PBE.

Lattice parameters (Å, degrees): 8.631 8.631 8.631 25.17 25.17 25.17
Fractional coordinates of all 4 atoms:
Te 0.888 0.888 0.888
Te 0.112 0.112 0.112
Ni 0.500 0.500 0.500
As 0.000 0.000 0.000

**Symmetry**: No. 166
**Formation energy from raw total energies**: 149 meV/atom
**Magnetization**: 0.00 Bohr magnetons per cell


Entry 2:
This record from Alexandria describes a relaxed structure of TiMn3Ga3. The functional is GGA-PBE.

Lattice parameters (Å, degrees): 5.376 5.376 7.269 90.03 90.03 95.20
Site moments in Bohr magnetons follow the coordinates.
Fractional coordinates of all 14 atoms:
Ga 0.500 0.999 0.257  -0.10
Ga 0.999 0.500 0.257  -0.10
Ga 0.001 0.500 0.743  -0.10
Ga 0.000 0.000 0.742  -0.09
Ga 0.000 0.000 0.258  -0.09
Ga 0.500 0.001 0.743  -0.10
Mn 0.252 0.748 0.500  2.68
Mn 0.232 0.768 0.000  2.09
Mn 0.768 0.232 0.000  2.09
Mn 0.266 0.266 0.500  2.79
Mn 0.748 0.252 0.500  2.68
Mn 0.734 0.734 0.500  2.79
Ti 0.296 0.296 0.001  -0.64
Ti 0.704 0.704 0.999  -0.64

**Symmetry**: No. 12
**ΔE_f**: 24 meV/atom
**Magnetization**: 13.46 Bohr magnetons per cell


Entry 3:
This record from Alexandria describes a relaxed structure of KSmHo2Se4. The functional is GGA-PBE.

Lattice parameters (Å, degrees): 4.112 7.341 7.287 71.63 90.00 90.00
Fractional coordinates of all 8 atoms:
Sm 0.500 0.500 0.000
Ho 0.500 0.000 0.500
Ho 0.000 0.000 0.000
Se 0.500 0.227 0.766
Se 0.500 0.773 0.234
Se 0.000 0.235 0.249
Se 0.000 0.765 0.751
K 0.000 0.500 0.500

**Symmetry**: No. 10
**Formation energy from raw total energies**: -1717 meV/atom
**Magnetization**: 0.00 Bohr magnetons per cell


Entry 4:
This record from Alexandria describes a relaxed structure of AlRhSeN2. The functional is GGA-PBE.

Lattice parameters (Å, degrees): 3.645 3.645 5.329 90.00 90.00 90.00
Site moments in Bohr magnetons follow the coordinates.
Fractional coordinates of all 5 atoms:
Rh 0.500 0.500 0.500  0.41
Se 0.000 0.000 0.500  0.15
Al 0.000 0.000 0.000  -0.01
N 0.500 0.000 0.000  0.36
N 0.000 0.500 0.000  0.36

**Symmetry**: No. 123
**Formation energy from raw total energies**: 874 meV/atom
**Magnetization**: 1.63 Bohr magnetons per cell


Entry 5:
This record from Alexandria describes a relaxed structure of Rb3Dy3NbS8. The functional is GGA-PBE.

Lattice parameters (Å, degrees): 7.892 7.893 9.074 115.78 90.00 119.99
Site moments in Bohr magnetons follow the coordinates.
Fractional coordinates of all 15 atoms:
Rb 0.000 0.000 0.000  0.00
Rb 0.000 0.500 0.000  0.00
Rb 0.500 0.500 0.000  0.00
S 0.731 0.462 0.693  0.00
S 0.269 0.538 0.307  0.00
S 0.750 0.966 0.682  -0.01
S 0.216 0.433 0.682  -0.01
S 0.250 0.034 0.318  -0.01
S 0.784 0.034 0.318  -0.01
S 0.216 0.966 0.682  -0.01
S 0.784 0.567 0.318  -0.01
Dy 0.000 0.500 0.500  0.02
Dy 0.500 0.000 0.500  0.02
Dy 0.500 0.500 0.500  0.02
Nb 0.000 0.000 0.500  0.79

**Symmetry**: No. 166
**Formation energy from raw total energies**: -1640 meV/atom
**Magnetization**: 1.01 Bohr magnetons per cell


Entry 6:
This record from Alexandria describes a relaxed structure of Cd2SbO2. The functional is GGA-PBE.

Lattice parameters (Å, degrees): 4.576 4.576 6.105 67.99 67.99 90.00
Fractional coordinates of all 5 atoms:
O 0.770 0.770 0.459
O 0.230 0.230 0.541
Cd 0.250 0.750 0.500
Cd 0.750 0.250 0.500
Sb 0.000 0.000 0.000

**Symmetry**: No. 139
**Formation energy from raw total energies**: -413 meV/atom
**Magnetization**: 0.00 Bohr magnetons per cell


Entry 7:
This record from Alexandria describes a relaxed structure of Cs2Na12Cd7. The functional is GGA-PBE.

Lattice parameters (Å, degrees): 5.538 12.309 12.309 120.00 90.00 90.00
Fractional coordinates of all 21 atoms:
Na 0.000 0.454 0.963
Na 0.000 0.888 0.164
Na 0.500 0.279 0.797
Na 0.000 0.276 0.112
Na 0.000 0.508 0.546
Na 0.500 0.960 0.621
Na 0.000 0.836 0.724
Na 0.500 0.661 0.040
Na 0.500 0.518 0.721
Na 0.500 0.203 0.482
Na 0.000 0.037 0.492
Na 0.500 0.379 0.339
Cd 0.000 0.209 0.347
Cd 0.000 0.333 0.667
Cd 0.500 0.679 0.581
Cd 0.000 0.138 0.791
Cd 0.500 0.419 0.097
Cd 0.500 0.903 0.321
Cd 0.000 0.653 0.862
Cs 0.500 0.000 0.000
Cs 0.000 0.667 0.333

**Symmetry**: No. 174
**ΔE_f**: -25 meV/atom
**Magnetization**: 0.00 Bohr magnetons per cell


Entry 8:
This record from Alexandria describes a relaxed structure of Li4Ca3Ge4. The functional is GGA-PBE.

Lattice parameters (Å, degrees): 4.458 6.941 8.481 114.15 105.24 90.00
Fractional coordinates of all 11 atoms:
Ge 0.791 0.291 0.581
Ge 0.209 0.709 0.419
Ge 0.500 0.824 0.000
Ge 0.500 0.176 0.000
Li 0.674 0.867 0.347
Li 0.674 0.480 0.347
Li 0.326 0.520 0.653
Li 0.326 0.133 0.653
Ca 0.132 0.132 0.264
Ca 0.868 0.868 0.736
Ca 0.000 0.500 0.000

**Symmetry**: No. 71
**ΔE_f**: -455 meV/atom
**Magnetization**: 0.00 Bohr magnetons per cell


Entry 9:
This record from Alexandria describes a relaxed structure of Sc3ReRu. The functional is GGA-PBE.

Lattice parameters (Å, degrees): 4.921 4.921 4.921 90.00 90.00 90.00
Site moments in Bohr magnetons follow the coordinates.
Fractional coordinates of all 5 atoms:
Sc 0.000 0.000 0.500  -0.05
Sc 0.500 0.000 0.000  -0.06
Sc 0.000 0.500 0.000  -0.05
Ru 0.500 0.500 0.500  1.30
Re 0.000 0.000 0.000  0.21

**Symmetry**: No. 221
**ΔE_f**: 756 meV/atom
**Magnetization**: 1.30 Bohr magnetons per cell


Entry 10:
This record from Alexandria describes a relaxed structure of SrPdN2O. The functional is GGA-PBE.

Lattice parameters (Å, degrees): 4.760 4.760 4.503 90.00 90.00 90.00
Site moments in Bohr magnetons follow the coordinates.
Fractional coordinates of all 5 atoms:
N 0.000 0.500 0.000  0.43
N 0.500 0.000 0.000  0.43
Pd 0.500 0.500 0.500  0.29
Sr 0.000 0.000 0.000  0.02
O 0.000 0.000 0.500  -0.76

**Symmetry**: No. 123
**Formation energy from raw total energies**: 1890 meV/atom
**Magnetization**: 0.68 Bohr magnetons per cell


Entry 11:
This record from Alexandria describes a relaxed structure of CaGePS2. The functional is GGA-PBE.

Lattice parameters (Å, degrees): 5.141 5.141 5.194 90.00 90.00 90.00
Site moments in Bohr magnetons follow the coordinates.
Fractional coordinates of all 5 atoms:
Ge 0.500 0.500 0.500  -0.02
S 0.000 0.500 0.000  0.10
S 0.500 0.000 0.000  0.10
P 0.000 0.000 0.500  0.15
Ca 0.000 0.000 0.000  0.00

**Symmetry**: No. 123
**Formation energy from raw total energies**: 568 meV/atom
**Magnetization**: 0.62 Bohr magnetons per cell


Entry 12:
This record from Alexandria describes a relaxed structure of Ce6TmCo3. The functional is GGA-PBE.

Lattice parameters (Å, degrees): 6.864 8.183 8.183 90.98 90.00 90.00
Fractional coordinates of all 20 atoms:
Ce 0.340 0.533 0.993
Ce 0.601 0.705 0.697
Ce 0.840 0.993 0.533
Ce 0.101 0.295 0.303
Ce 0.101 0.697 0.705
Ce 0.601 0.303 0.295
Ce 0.840 0.467 0.007
Ce 0.605 0.317 0.683
Ce 0.105 0.683 0.317
Ce 0.340 0.007 0.467
Ce 0.204 0.972 0.028
Ce 0.704 0.028 0.972
Co 0.863 0.520 0.480
Co 0.405 0.251 0.993
Co 0.905 0.993 0.251
Co 0.363 0.480 0.520
Co 0.905 0.749 0.007
Co 0.405 0.007 0.749
Tm 0.622 0.723 0.277
Tm 0.122 0.277 0.723

**Symmetry**: No. 36
**ΔE_f**: -78 meV/atom
**Magnetization**: 0.00 Bohr magnetons per cell


Entry 13:
This record from Alexandria describes a relaxed structure of Cs3ErTm2S6. The functional is GGA-PBE.

Lattice parameters (Å, degrees): 7.030 7.030 8.385 98.03 98.03 120.00
Fractional coordinates of all 12 atoms:
Cs 0.167 0.833 0.500
Cs 0.833 0.167 0.500
Cs 0.500 0.500 0.500
S 0.394 0.060 0.180
S 0.725 0.725 0.180
S 0.606 0.940 0.820
S 0.060 0.394 0.180
S 0.940 0.606 0.820
S 0.275 0.275 0.820
Tm 0.333 0.667 0.000
Tm 0.667 0.333 0.000
Er 0.000 0.000 0.000

**Symmetry**: No. 12
**Formation energy from raw total energies**: -1828 meV/atom
**Magnetization**: 0.00 Bohr magnetons per cell


Entry 14:
This record from Alexandria describes a relaxed structure of Y3TiCl. The functional is GGA-PBE.

Lattice parameters (Å, degrees): 5.165 5.165 5.165 90.00 90.00 90.00
Site moments in Bohr magnetons follow the coordinates.
Fractional coordinates of all 5 atoms:
Cl 0.000 0.000 0.000  0.01
Y 0.000 0.000 0.500  -0.07
Y 0.000 0.500 0.000  -0.04
Y 0.500 0.000 0.000  0.01
Ti 0.500 0.500 0.500  1.17

**Symmetry**: No. 221
**Formation energy from raw total energies**: -172 meV/atom
**Magnetization**: 1.49 Bohr magnetons per cell


Entry 15:
This record from Alexandria describes a relaxed structure of ZrSc2IrAu. The functional is GGA-PBE.

Lattice parameters (Å, degrees): 4.926 5.055 4.926 90.00 90.00 90.00
Site moments in Bohr magnetons follow the coordinates.
Fractional coordinates of all 5 atoms:
Au 0.000 0.000 0.000  0.01
Sc 0.500 0.000 0.000  0.17
Sc 0.000 0.000 0.500  0.14
Ir 0.000 0.500 0.000  -0.03
Zr 0.500 0.500 0.500  0.65

**Symmetry**: No. 123
**ΔE_f**: 552 meV/atom
**Magnetization**: 1.50 Bohr magnetons per cell


Entry 16:
This record from Alexandria describes a relaxed structure of BeMo3. The functional is GGA-PBE.

Lattice parameters (Å, degrees): 2.740 2.740 9.033 90.00 90.00 120.00
Fractional coordinates of all 4 atoms:
Mo 0.667 0.333 0.227
Mo 0.000 0.000 0.500
Mo 0.667 0.333 0.773
Be 0.000 0.000 0.000

**Symmetry**: No. 187
**ΔE_f**: 371 meV/atom
**Magnetization**: 0.00 Bohr magnetons per cell


Entry 17:
This record from Alexandria describes a relaxed structure of Sr2P2Pb5. The functional is GGA-PBE.

Lattice parameters (Å, degrees): 3.961 8.679 15.638 90.00 90.00 90.00
Fractional coordinates of all 18 atoms:
Sr 0.000 0.050 0.204
Sr 0.000 0.550 0.296
Sr 0.000 0.950 0.796
Sr 0.000 0.450 0.704
P 0.500 0.215 0.779
P 0.500 0.715 0.721
P 0.500 0.285 0.279
P 0.500 0.785 0.221
Pb 0.500 0.131 0.604
Pb 0.000 0.798 0.583
Pb 0.500 0.000 0.000
Pb 0.500 0.631 0.896
Pb 0.000 0.702 0.083
Pb 0.500 0.869 0.396
Pb 0.500 0.369 0.104
Pb 0.500 0.500 0.500
Pb 0.000 0.298 0.917
Pb 0.000 0.202 0.417

**Symmetry**: No. 55
**ΔE_f**: -356 meV/atom
**Magnetization**: 0.00 Bohr magnetons per cell


Entry 18:
This record from Alexandria describes a relaxed structure of Be3Os. The functional is GGA-PBE.

Lattice parameters (Å, degrees): 3.806 3.806 3.806 60.00 60.00 60.00
Fractional coordinates of all 4 atoms:
Os 0.750 0.750 0.750
Be 0.000 0.000 0.000
Be 0.500 0.500 0.500
Be 0.250 0.250 0.250

**Symmetry**: No. 225
**ΔE_f**: -72 meV/atom
**Magnetization**: 0.00 Bohr magnetons per cell


Entry 19:
This record from Alexandria describes a relaxed structure of Li3Sc. The functional is GGA-PBE.

Lattice parameters (Å, degrees): 5.817 5.817 5.817 117.15 117.15 117.15
Fractional coordinates of all 4 atoms:
Li 0.000 0.000 0.000
Li 0.500 0.000 0.500
Li 0.500 0.500 0.000
Sc 0.000 0.500 0.500

**Symmetry**: No. 166
**ΔE_f**: 194 meV/atom
**Magnetization**: 0.00 Bohr magnetons per cell


Entry 20:
This record from Alexandria describes a relaxed structure of NbSn2HgN. The functional is GGA-PBE.

Lattice parameters (Å, degrees): 5.648 3.977 5.648 90.00 90.00 90.00
Fractional coordinates of all 5 atoms:
Sn 0.000 0.000 0.500
Sn 0.500 0.000 0.000
N 0.000 0.500 0.000
Nb 0.000 0.000 0.000
Hg 0.500 0.500 0.500

**Symmetry**: No. 123
**Formation energy from raw total energies**: 317 meV/atom
**Magnetization**: 0.00 Bohr magnetons per cell


Entry 21:
This record from Alexandria describes a relaxed structure of Na2ZnAg2. The functional is GGA-PBE.

Lattice parameters (Å, degrees): 6.903 6.903 4.771 90.00 90.00 90.00
Fractional coordinates of all 10 atoms:
Na 0.331 0.169 0.500
Na 0.669 0.831 0.500
Na 0.831 0.331 0.500
Na 0.169 0.669 0.500
Ag 0.357 0.857 0.000
Ag 0.643 0.143 0.000
Ag 0.857 0.643 0.000
Ag 0.143 0.357 0.000
Zn 0.000 0.000 0.000
Zn 0.500 0.500 0.000

**Symmetry**: No. 127
**ΔE_f**: 9 meV/atom
**Magnetization**: 0.00 Bohr magnetons per cell


Entry 22:
This record from Alexandria describes a relaxed structure of Na7SrBi4. The functional is GGA-PBE.

Lattice parameters (Å, degrees): 5.814 9.986 7.805 83.73 68.13 73.07
Fractional coordinates of all 12 atoms:
Na 0.500 0.000 0.000
Na 0.344 0.585 0.727
Na 0.084 0.628 0.205
Na 0.785 0.885 0.545
Na 0.215 0.115 0.455
Na 0.916 0.372 0.795
Na 0.656 0.415 0.273
Bi 0.307 0.300 0.085
Bi 0.563 0.220 0.653
Bi 0.437 0.780 0.347
Bi 0.693 0.700 0.915
Sr 0.000 0.000 0.000

**Symmetry**: No. 12
**ΔE_f**: -228 meV/atom
**Magnetization**: 0.00 Bohr magnetons per cell


Entry 23:
This record from Alexandria describes a relaxed structure of Cs2AcPtO6. The functional is GGA-PBE.

Lattice parameters (Å, degrees): 6.313 6.313 6.313 60.00 60.00 60.00
Site moments in Bohr magnetons follow the coordinates.
Fractional coordinates of all 10 atoms:
Cs 0.250 0.250 0.250  0.04
Cs 0.750 0.750 0.750  0.04
O 0.221 0.221 0.779  0.27
O 0.779 0.221 0.779  0.27
O 0.779 0.221 0.221  0.27
O 0.221 0.779 0.221  0.27
O 0.221 0.779 0.779  0.27
O 0.779 0.779 0.221  0.27
Pt 0.000 0.000 0.000  0.89
Ac 0.500 0.500 0.500  -0.01

**Symmetry**: No. 225
**Formation energy from raw total energies**: -1389 meV/atom
**Magnetization**: 3.04 Bohr magnetons per cell


| no. | total energy (eV/atom) |
| --- | --- |
| 1 | -4.029 |
| 2 | -6.331 |
| 3 | -5.331 |
| 4 | -5.372 |
| 5 | -5.627 |
| 6 | -3.587 |
| 7 | -1.165 |
| 8 | -3.376 |
| 9 | -7.387 |
| 10 | -3.807 |
| 11 | -3.489 |
| 12 | -6.217 |
| 13 | -5.231 |
| 14 | -5.999 |
| 15 | -6.118 |
| 16 | -8.684 |
| 17 | -3.992 |
| 18 | -5.675 |
| 19 | -2.824 |
| 20 | -5.024 |
| 21 | -1.913 |
| 22 | -2.431 |
| 23 | -5.550 |